# BaTbO | Alexandria | GGA-PBE | optimized geometry
# Final energy   -0.210 hartree per atom
data_BaTbO
_cell_length_a 26.1044
_cell_length_b 4.0744
_cell_length_c 8.0053
_cell_angle_alpha 90.00
_cell_angle_beta 91.00
_cell_angle_gamma 90.00
_space_group_name_H-M_alt 'C 1 2/m 1'
_space_group_IT_number 12
loop_
_space_group_symop_operation_xyz
'x,y,z'
'-x,-y,-z'
'-x,y,-z'
'x,-y,z'
'x+1/2,y+1/2,z'
'-x+1/2,-y+1/2,-z'
'-x+1/2,y+1/2,-z'
'x+1/2,-y+1/2,z'
loop_
_atom_site_label
_atom_site_type_symbol
_atom_site_fract_x
_atom_site_fract_y
_atom_site_fract_z
_atom_site_occupancy
Ba1 Ba 0.0702 0.0000 0.3639 1
Ba2 Ba 0.0772 0.5000 0.8654 1
Tb1 Tb 0.2100 0.0000 0.1212 1
Tb2 Tb 0.2114 0.0000 0.6242 1
O1 O 0.2491 0.5000 0.1235 1
O2 O 0.2495 0.0000 0.3737 1